No. 1
Here is a geometry-optimized Er5SiTe2 structure from Alexandria via LeMat-Bulk. Energies are from PBE-GGA.

a b c (Å): 5.8623 6.7382 13.5384
angles (deg): 90.00 90.00 115.79
Fractional positions:
Er 0.6161 0.2321 0.9019
Er 0.3839 0.7679 0.0981
Er 0.3839 0.7679 0.4019
Er 0.9458 0.8915 0.8766
Er 0.6733 0.3467 0.2500
Er 0.3267 0.6533 0.7500
Er 0.9458 0.8915 0.6234
Er 0.6161 0.2321 0.5981
Er 0.0542 0.1085 0.1234
Er 0.0542 0.1085 0.3766
Si 0.2304 0.4608 0.2500
Si 0.7696 0.5392 0.7500
Te 0.8103 0.6205 0.0612
Te 0.1897 0.3795 0.9388
Te 0.8103 0.6205 0.4388
Te 0.1897 0.3795 0.5612

E_form (uncorrected) = -4.81 eV per formula unit
Space-group type = Cmcm (63)
Energy = -78.67 eV for the cell shown
Density of states at the Fermi level = 1.147 states/eV/atom
Crystal system = orthorhombic
Size of the total moment = 0.00 μB per cell



No. 2
Here is a geometry-optimized BeCrSb4 structure from Alexandria via LeMat-Bulk. Energies are from PBE-GGA.

a b c (Å): 6.1397 6.1397 6.1397
angles (deg): 60.00 60.00 60.00
Site moments in Bohr magnetons follow the coordinates.
Fractional positions:
Sb 0.3757 0.3757 0.3757  -0.01
Sb 0.3757 0.3757 0.8729  -0.01
Sb 0.3757 0.8729 0.3757  -0.01
Sb 0.8729 0.3757 0.3757  -0.01
Be 0.7500 0.7500 0.7500  -0.01
Cr 0.0000 0.0000 0.0000  4.12

E_form (uncorrected) = 5.63 eV per formula unit
Space-group type = F-43m (216)
Energy = -24.21 eV for the cell shown
Density of states at the Fermi level = 0.434 states/eV/atom
Crystal system = cubic
Size of the total moment = 4.64 μB per cell



No. 3
Here is a geometry-optimized RbOsIO2 structure from Alexandria via LeMat-Bulk. Energies are from PBE-GGA.

a b c (Å): 4.1865 4.1865 5.6491
angles (deg): 90.00 90.00 90.00
Site moments in Bohr magnetons follow the coordinates.
Fractional positions:
I 0.0000 0.0000 0.5000  0.01
O 0.5000 0.0000 0.0000  0.13
O 0.0000 0.5000 0.0000  0.13
Rb 0.5000 0.5000 0.5000  0.00
Os 0.0000 0.0000 0.0000  0.60

E_form (uncorrected) = -1.30 eV per formula unit
Space-group type = P4/mmm (123)
Energy = -24.97 eV for the cell shown
Density of states at the Fermi level = 0.617 states/eV/atom
ΔE to the lowest computed polymorph = 0 meV/atom
Crystal system = tetragonal
Size of the total moment = 0.96 μB per cell



No. 4
Here is a geometry-optimized ThVB2 structure from Alexandria via LeMat-Bulk. Energies are from PBE-GGA.

a b c (Å): 3.6852 3.6852 5.4165
angles (deg): 70.11 70.11 60.00
Fractional positions:
B 0.7108 0.7108 0.8675
B 0.2892 0.2892 0.1325
Th 0.5000 0.5000 0.5000
V 0.0000 0.0000 0.0000

Space-group type = R-3m (166)
Energy = -29.90 eV for the cell shown
Density of states at the Fermi level = 0.768 states/eV/atom
Calculated formation energy = 0.00 eV per atom
Crystal system = trigonal
Size of the total moment = 0.00 μB per cell



No. 5
Here is a geometry-optimized MgNi2Te structure from Alexandria via LeMat-Bulk. Energies are from PBE-GGA.

a b c (Å): 5.0482 5.0482 5.0482
angles (deg): 135.66 135.66 64.51
Fractional positions:
Ni 0.0000 0.0000 0.0000
Ni 0.2500 0.7500 0.5000
Mg 0.7500 0.2500 0.5000
Te 0.5000 0.5000 0.0000

E_form (uncorrected) = -0.22 eV per formula unit
Space-group type = I-4m2 (119)
Energy = -16.52 eV for the cell shown
Density of states at the Fermi level = 0.829 states/eV/atom
ΔE to the lowest computed polymorph = 61 meV/atom
Crystal system = tetragonal
Size of the total moment = 0.00 μB per cell



No. 6
Here is a geometry-optimized Ta2TlTeMo structure from Alexandria via LeMat-Bulk. Energies are from PBE-GGA.

a b c (Å): 5.1057 5.0443 5.1057
angles (deg): 90.00 90.00 90.00
Fractional positions:
Mo 0.0000 0.5000 0.0000
Ta 0.0000 0.0000 0.5000
Ta 0.5000 0.0000 0.0000
Tl 0.0000 0.0000 0.0000
Te 0.5000 0.5000 0.5000

E_form (uncorrected) = 11.67 eV per formula unit
Space-group type = P4/mmm (123)
Energy = -28.38 eV for the cell shown
Density of states at the Fermi level = 2.381 states/eV/atom
Crystal system = tetragonal
Size of the total moment = 0.00 μB per cell



No. 7
Here is a geometry-optimized Zr3MnRh2 structure from Alexandria via LeMat-Bulk. Energies are from PBE-GGA.

a b c (Å): 3.2782 3.2782 9.7065
angles (deg): 90.00 90.00 90.00
Fractional positions:
Rh 0.5000 0.5000 0.1653
Rh 0.5000 0.5000 0.8347
Zr 0.0000 0.0000 0.0000
Zr 0.0000 0.0000 0.6584
Zr 0.0000 0.0000 0.3416
Mn 0.5000 0.5000 0.5000

Space-group type = P4/mmm (123)
Energy = -52.88 eV for the cell shown
Density of states at the Fermi level = 0.570 states/eV/atom
ΔE to the lowest computed polymorph = 0 meV/atom
Calculated formation energy = -0.56 eV per atom
Crystal system = tetragonal
Size of the total moment = 0.00 μB per cell



No. 8
Here is a geometry-optimized Er4Te2PC structure from Alexandria via LeMat-Bulk. Energies are from PBE-GGA.

a b c (Å): 3.9393 6.8887 7.2909
angles (deg): 108.13 90.00 90.00
Fractional positions:
P 0.0000 0.0000 0.0000
Er 0.0000 0.2867 0.8053
Er 0.5000 0.2572 0.1995
Er 0.0000 0.7133 0.1947
Er 0.5000 0.7428 0.8005
Te 0.5000 0.0000 0.5000
Te 0.0000 0.5000 0.5000
C 0.5000 0.5000 0.0000

E_form (uncorrected) = -9.53 eV per formula unit
Space-group type = P2/m (10)
Energy = -48.70 eV for the cell shown
Density of states at the Fermi level = 0.279 states/eV/atom
Crystal system = monoclinic
Size of the total moment = 0.00 μB per cell



No. 9
Here is a geometry-optimized USbSe3 structure from Alexandria via LeMat-Bulk. Energies are from PBE-GGA.

a b c (Å): 4.0930 7.5820 9.5658
angles (deg): 90.67 102.35 90.00
Site moments in Bohr magnetons follow the coordinates.
Fractional positions:
Se 0.6714 0.0300 0.3428  -0.08
Se 0.8188 0.3899 0.6376  -0.08
Se 0.9416 0.7861 0.8832  -0.02
Se 0.0584 0.2139 0.1168  -0.02
Se 0.1812 0.6101 0.3624  -0.08
Se 0.3286 0.9700 0.6572  -0.08
U 0.2267 0.2500 0.4534  2.09
U 0.7733 0.7500 0.5466  2.09
Sb 0.4734 0.3194 0.9468  0.00
Sb 0.5266 0.6806 0.0532  0.00

E_form (uncorrected) = -3.49 eV per formula unit
Space-group type = C2/m (12)
Energy = -58.72 eV for the cell shown
Density of states at the Fermi level = 1.342 states/eV/atom
Crystal system = monoclinic
Size of the total moment = 4.00 μB per cell



No. 10
Here is a geometry-optimized CsBaH2Rh structure from Alexandria via LeMat-Bulk. Energies are from PBE-GGA.

a b c (Å): 4.9148 9.7010 4.9148
angles (deg): 90.00 90.00 90.00
Site moments in Bohr magnetons follow the coordinates.
Fractional positions:
Rh 0.5000 0.5000 0.5000  1.20
H 0.0000 0.0000 0.5000  0.00
H 0.5000 0.0000 0.0000  0.00
Ba 0.0000 0.0000 0.0000  0.00
Cs 0.0000 0.5000 0.0000  0.03

Space-group type = P4/mmm (123)
Energy = -13.31 eV for the cell shown
Density of states at the Fermi level = 0.709 states/eV/atom
Crystal system = tetragonal
Size of the total moment = 1.69 μB per cell



No. 11
Here is a geometry-optimized Ce2TaPd structure from Alexandria via LeMat-Bulk. Energies are from PBE-GGA.

a b c (Å): 3.0058 3.0058 10.9355
angles (deg): 82.10 82.10 60.00
Fractional positions:
Pd 0.5000 0.5000 0.5000
Ta 0.0000 0.0000 0.0000
Ce 0.0883 0.0883 0.7352
Ce 0.9117 0.9117 0.2648

Space-group type = R-3m (166)
Energy = -28.32 eV for the cell shown
Density of states at the Fermi level = 1.673 states/eV/atom
Calculated formation energy = 0.15 eV per atom
Crystal system = trigonal
Size of the total moment = 0.00 μB per cell



No. 12
Here is a geometry-optimized ScTlCl2 structure from Alexandria via LeMat-Bulk. Energies are from PBE-GGA.

a b c (Å): 3.2129 3.2131 10.5491
angles (deg): 90.00 90.00 90.00
Fractional positions:
Tl 0.5000 0.5000 0.7500
Cl 0.0000 0.0000 0.3950
Cl 0.0000 0.0000 0.1050
Sc 0.5000 0.5000 0.2500

E_form (uncorrected) = -4.79 eV per formula unit
Space-group type = P4/mmm (123)
Energy = -17.18 eV for the cell shown
Density of states at the Fermi level = 0.539 states/eV/atom
ΔE to the lowest computed polymorph = 113 meV/atom
Crystal system = tetragonal
Size of the total moment = 0.00 μB per cell